Computed, not measured: a relaxed structure of YNbSi2 at the PBE-GGA level of DFT.

```
data_YNbSi2
_cell_length_a 6.672
_cell_length_b 6.672
_cell_length_c 6.672
_cell_angle_alpha 90.00
_cell_angle_beta 90.00
_cell_angle_gamma 90.00
_symmetry_space_group_name_H-M 'F m -3 m'
_symmetry_Int_Tables_number 225
_symmetry_space_group_name_Hall '-F 4 2 3'
loop_
_atom_site_label
_atom_site_type_symbol
_atom_site_fract_x
_atom_site_fract_y
_atom_site_fract_z
Y1 Y 0.000 0.000 0.000
Nb1 Nb 0.000 0.000 0.500
Si1 Si 0.250 0.250 0.250
```

Properties
As for the formation energy (no corrections): -0.156 eV/atom. The value obtained for the total magnetization is 4.60 Bohr magnetons per cell. For the energy above the most stable polymorph in this dataset, the calculation gives 0.043 eV per atom. The calculation puts the volume at 18.6 A^3/atom. The value obtained for the theoretical density is 5.3 g/cm3.



Computed, not measured: a relaxed structure of CaFeCl2 at the PBE-GGA level of DFT.

```
data_CaFeCl2
_cell_length_a 12.347
_cell_length_b 3.864
_cell_length_c 4.760
_cell_angle_alpha 90.00
_cell_angle_beta 90.33
_cell_angle_gamma 90.00
_symmetry_space_group_name_H-M 'C 1 2/m 1'
_symmetry_Int_Tables_number 12
_symmetry_space_group_name_Hall '-C 2y'
loop_
_atom_site_label
_atom_site_type_symbol
_atom_site_fract_x
_atom_site_fract_y
_atom_site_fract_z
Ca1 Ca 0.000 0.000 0.000
Fe1 Fe 0.000 0.500 0.500
Cl1 Cl 0.141 0.500 0.776
```

Properties
As for the formation energy (no corrections): -0.818 eV/atom. The value obtained for the total magnetization is 4.00 Bohr magnetons per cell. For the energy above the most stable polymorph in this dataset, the calculation gives 0.007 eV per atom. The calculation puts the volume at 28.4 A^3/atom. The value obtained for the theoretical density is 2.4 g/cm3.



Computed, not measured: a relaxed structure of YNi2Se at the PBE-GGA level of DFT.

```
data_YNi2Se
_cell_length_a 3.530
_cell_length_b 3.530
_cell_length_c 5.488
_cell_angle_alpha 90.00
_cell_angle_beta 90.00
_cell_angle_gamma 90.00
_symmetry_space_group_name_H-M 'P 4/m m m'
_symmetry_Int_Tables_number 123
_symmetry_space_group_name_Hall '-P 4 2'
loop_
_atom_site_label
_atom_site_type_symbol
_atom_site_fract_x
_atom_site_fract_y
_atom_site_fract_z
Y1 Y 0.000 0.000 0.000
Ni1 Ni 0.500 0.500 0.270
Se1 Se 0.000 0.000 0.500
```

Properties
As for the formation energy (no corrections): -0.313 eV/atom. The value obtained for the total magnetization is 0.00 Bohr magnetons per cell. The calculation puts the volume at 17.1 A^3/atom. The value obtained for the theoretical density is 6.9 g/cm3.



Computed, not measured: a relaxed structure of Rb2CrCdH6 at the PBE-GGA level of DFT.

```
data_Rb2CrCdH6
_cell_length_a 5.835
_cell_length_b 5.835
_cell_length_c 8.245
_cell_angle_alpha 90.00
_cell_angle_beta 90.00
_cell_angle_gamma 90.00
_symmetry_space_group_name_H-M 'I 4/m m m'
_symmetry_Int_Tables_number 139
_symmetry_space_group_name_Hall '-I 4 2'
loop_
_atom_site_label
_atom_site_type_symbol
_atom_site_fract_x
_atom_site_fract_y
_atom_site_fract_z
Rb1 Rb 0.000 0.500 0.250
Cr1 Cr 0.000 0.000 0.000
Cd1 Cd 0.000 0.000 0.500
H1 H 0.000 0.000 0.223
H2 H 0.223 0.223 0.000
```

Properties
The value obtained for the total magnetization is 7.80 Bohr magnetons per cell. The calculation puts the volume at 14.0 A^3/atom. The value obtained for the theoretical density is 4.0 g/cm3.



Number 1: energy -7.00 eV per atom. Number 2: energy -4.36 eV per atom. Number 3: energy -5.69 eV per atom. Number 4: energy -3.27 eV per atom.